[1]
Computed, not measured: Tm2Zn2Sn after structural relaxation at the PBE-GGA level of DFT.

a = 4.2117 Å, b = 5.7577 Å, c = 5.7577 Å
α = 61.32°, β = 68.55°, γ = 68.55°
Fractional coordinates of all 5 atoms:
Tm 0.7871 0.7129 0.7129
Tm 0.2129 0.2871 0.2871
Sn 0.0000 0.0000 0.0000
Zn 0.5000 0.7063 0.2937
Zn 0.5000 0.2937 0.7063

ΔE_f = -1.98 eV/f.u.
DOS at the Fermi energy = 0.8873 states/eV per atom

=====

[2]
Computed, not measured: K4Dy3ScTe8 after structural relaxation at the PBE-GGA level of DFT.

a = 8.9017 Å, b = 9.7046 Å, c = 8.9024 Å
α = 117.32°, β = 120.00°, γ = 90.00°
Fractional coordinates of all 16 atoms:
K 0.0000 0.0000 0.5000
K 0.0000 0.0000 0.0000
K 0.5000 0.0000 0.0000
K 0.5000 0.0000 0.5000
Te 0.2299 0.7043 0.4598
Te 0.7702 0.2957 0.0254
Te 0.2298 0.7043 0.9746
Te 0.2552 0.2957 0.0254
Te 0.7701 0.2957 0.5402
Te 0.2633 0.2899 0.5265
Te 0.7448 0.7043 0.9746
Te 0.7367 0.7101 0.4735
Sc 0.0000 0.5000 0.0000
Dy 0.5000 0.5000 0.5000
Dy 0.5000 0.5000 0.0000
Dy 0.0000 0.5000 0.5000

ΔE_f (raw) = -1357 meV/atom

=====

[3]
Computed, not measured: MnCr2Cl after structural relaxation at the PBE-GGA level of DFT.

a = 2.9676 Å, b = 2.9676 Å, c = 6.8913 Å
α = 90.00°, β = 90.00°, γ = 90.00°
Fractional coordinates of all 4 atoms:
Cl 0.5000 0.5000 0.7224
Cr 0.0000 0.0000 0.0581
Cr 0.5000 0.5000 0.2481
Mn 0.0000 0.0000 0.4714

Energy above the lowest structure with this stoichiometry = 154 meV per atom
ΔE_f (raw) = 249 meV/atom
DOS at the Fermi energy = 0.6924 states/eV per atom